Entry 1:
Material: Ta2MnRe
Method: DFT, PBE-GGA
State: relaxed

Properties
Formation energy from the elements: 87.4 kJ/mol of formula units

a = 2.8855 Å, b = 2.8855 Å, c = 26.8970 Å
α = 90.00°, β = 90.00°, γ = 120.00°
With the nearest neighbours (Å) after each atom.
Atoms (fractional coordinates):
Ta  0.0000  0.0000  0.0000  3 Re 2.88, 9 Ta 2.89-3.02
Ta  0.0000  0.0000  0.2397  3 Mn 2.73, 9 Ta 2.89-3.02
Ta  0.3333  0.6667  0.6667  3 Re 2.88, 9 Ta 2.89-3.02
Ta  0.3333  0.6667  0.9064  3 Mn 2.73, 9 Ta 2.89-3.02
Ta  0.6667  0.3333  0.3333  3 Re 2.88, 9 Ta 2.89-3.02
Ta  0.6667  0.3333  0.5731  3 Mn 2.73, 9 Ta 2.89-3.02
Mn  0.0000  0.0000  0.4926  3 Re 2.55, 3 Ta 2.73
Mn  0.3333  0.6667  0.1592  3 Re 2.55, 3 Ta 2.73
Mn  0.6667  0.3333  0.8259  3 Re 2.55, 3 Ta 2.73
Re  0.0000  0.0000  0.7542  3 Mn 2.55
Re  0.3333  0.6667  0.4208  3 Mn 2.55
Re  0.6667  0.3333  0.0875  3 Mn 2.55



Entry 2:
Material: TaMnReTc2
Method: DFT, PBE-GGA
State: relaxed

Properties
Formation energy from the elements: 498.2 kJ/mol of formula units

a = 4.3536 Å, b = 4.3536 Å, c = 4.4404 Å
α = 90.00°, β = 90.00°, γ = 90.00°
With the nearest neighbours (Å) after each atom.
Atoms (fractional coordinates):
Ta  0.0000  0.0000  0.0000  4 Re 3.08, 8 Tc 3.11
Mn  0.5000  0.5000  0.5000  4 Tc 2.18, 2 Re 2.22
Re  0.5000  0.5000  0.0000  2 Mn 2.22
Tc  0.0000  0.5000  0.5000  2 Mn 2.18
Tc  0.5000  0.0000  0.5000  2 Mn 2.18



Entry 3:
Material: TaMnVRe
Method: DFT, PBE-GGA
State: relaxed

Properties
Formation energy from the elements: -96.0 kJ/mol of formula units

a = 6.1262 Å, b = 6.1262 Å, c = 6.1262 Å
α = 90.00°, β = 90.00°, γ = 90.00°
With the nearest neighbours (Å) after each atom.
Atoms (fractional coordinates):
Ta  0.0000  0.0000  0.0000  4 Mn 2.65, 4 Re 2.65
Ta  0.0000  0.5000  0.5000  4 Mn 2.65, 4 Re 2.65
Ta  0.5000  0.0000  0.5000  4 Mn 2.65, 4 Re 2.65
Ta  0.5000  0.5000  0.0000  4 Mn 2.65, 4 Re 2.65
Mn  0.2500  0.2500  0.7500  4 Ta 2.65, 4 V 2.65
Mn  0.2500  0.7500  0.2500  4 Ta 2.65, 4 V 2.65
Mn  0.7500  0.2500  0.2500  4 Ta 2.65, 4 V 2.65
Mn  0.7500  0.7500  0.7500  4 Ta 2.65, 4 V 2.65
V  0.0000  0.0000  0.5000  4 Mn 2.65, 4 Re 2.65
V  0.0000  0.5000  0.0000  4 Mn 2.65, 4 Re 2.65
V  0.5000  0.0000  0.0000  4 Mn 2.65, 4 Re 2.65
V  0.5000  0.5000  0.5000  4 Mn 2.65, 4 Re 2.65
Re  0.2500  0.2500  0.2500  4 Ta 2.65, 4 V 2.65
Re  0.2500  0.7500  0.7500  4 Ta 2.65, 4 V 2.65
Re  0.7500  0.2500  0.7500  4 Ta 2.65, 4 V 2.65
Re  0.7500  0.7500  0.2500  4 V 2.65, 4 Ta 2.65



Entry 4:
Material: TaMnReW2
Method: DFT, PBE-GGA
State: relaxed

Properties
Formation energy from the elements: 1170.1 kJ/mol of formula units

a = 4.7211 Å, b = 4.7211 Å, c = 4.2803 Å
α = 90.00°, β = 90.00°, γ = 90.00°
With the nearest neighbours (Å) after each atom.
Atoms (fractional coordinates):
Ta  0.0000  0.0000  0.0000  2 Mn 2.14, 4 W 2.36
Mn  0.0000  0.0000  0.5000  2 Ta 2.14
Re  0.5000  0.5000  0.5000  8 W 3.19, 4 Mn 3.34
W  0.0000  0.5000  0.0000  2 Ta 2.36
W  0.5000  0.0000  0.0000  2 Ta 2.36



Entry 5:
Material: ZrTaMnRe
Method: DFT, PBE-GGA
State: relaxed

Properties
Formation energy from the elements: -79.5 kJ/mol of formula units

a = 6.3936 Å, b = 6.3936 Å, c = 6.3936 Å
α = 90.00°, β = 90.00°, γ = 90.00°
With the nearest neighbours (Å) after each atom.
Atoms (fractional coordinates):
Zr  0.0000  0.0000  0.0000  4 Mn 2.77, 4 Re 2.77
Zr  0.0000  0.5000  0.5000  4 Mn 2.77, 4 Re 2.77
Zr  0.5000  0.0000  0.5000  4 Mn 2.77, 4 Re 2.77
Zr  0.5000  0.5000  0.0000  4 Mn 2.77, 4 Re 2.77
Ta  0.0000  0.0000  0.5000  4 Re 2.77, 4 Mn 2.77
Ta  0.0000  0.5000  0.0000  4 Re 2.77, 4 Mn 2.77
Ta  0.5000  0.0000  0.0000  4 Re 2.77, 4 Mn 2.77
Ta  0.5000  0.5000  0.5000  4 Re 2.77, 4 Mn 2.77
Mn  0.2500  0.2500  0.7500  4 Zr 2.77, 4 Ta 2.77
Mn  0.2500  0.7500  0.2500  4 Zr 2.77, 4 Ta 2.77
Mn  0.7500  0.2500  0.2500  4 Zr 2.77, 4 Ta 2.77
Mn  0.7500  0.7500  0.7500  4 Zr 2.77, 4 Ta 2.77
Re  0.2500  0.2500  0.2500  4 Zr 2.77, 4 Ta 2.77
Re  0.2500  0.7500  0.7500  4 Zr 2.77, 4 Ta 2.77
Re  0.7500  0.2500  0.7500  4 Zr 2.77, 4 Ta 2.77
Re  0.7500  0.7500  0.2500  4 Zr 2.77, 4 Ta 2.77



Entry 6:
Material: MnRe2Tc
Method: DFT, PBE-GGA
State: relaxed

Properties
Formation energy from the elements: 44.3 kJ/mol of formula units

a = 2.7168 Å, b = 2.7168 Å, c = 26.3769 Å
α = 90.00°, β = 90.00°, γ = 120.00°
With the nearest neighbours (Å) after each atom.
Atoms (fractional coordinates):
Mn  0.0000  0.0000  0.0000  6 Re 2.63, 6 Mn 2.72
Mn  0.3333  0.6667  0.6667  6 Re 2.63, 6 Mn 2.72
Mn  0.6667  0.3333  0.3333  6 Re 2.63, 6 Mn 2.72
Re  0.0000  0.0000  0.2533  3 Mn 2.63, 6 Re 2.72, 3 Tc 2.77
Re  0.0000  0.0000  0.7467  3 Mn 2.63, 6 Re 2.72, 3 Tc 2.77
Re  0.3333  0.6667  0.4134  3 Mn 2.63, 6 Re 2.72, 3 Tc 2.77
Re  0.3333  0.6667  0.9199  3 Mn 2.63, 6 Re 2.72, 3 Tc 2.77
Re  0.6667  0.3333  0.0801  3 Mn 2.63, 6 Re 2.72, 3 Tc 2.77
Re  0.6667  0.3333  0.5866  3 Mn 2.63, 6 Re 2.72, 3 Tc 2.77
Tc  0.0000  0.0000  0.5000  6 Tc 2.72, 6 Re 2.77
Tc  0.3333  0.6667  0.1667  6 Tc 2.72, 6 Re 2.77
Tc  0.6667  0.3333  0.8333  6 Tc 2.72, 6 Re 2.77



Entry 7:
Material: MnRe2Tc
Method: DFT, PBE-GGA
State: relaxed

Properties
Formation energy from the elements: 329.1 kJ/mol of formula units

a = 3.8157 Å, b = 3.8157 Å, c = 17.0874 Å
α = 90.00°, β = 90.00°, γ = 90.00°
With the nearest neighbours (Å) after each atom.
Atoms (fractional coordinates):
Mn  0.0000  0.0000  0.0000  4 Re 2.48, 4 Tc 2.70
Mn  0.0000  0.5000  0.2500  4 Re 2.48, 4 Tc 2.70
Mn  0.5000  0.0000  0.7500  4 Re 2.48, 4 Tc 2.70
Mn  0.5000  0.5000  0.5000  4 Re 2.48, 4 Tc 2.70
Re  0.2164  0.2500  0.1250  2 Mn 2.48, 2 Re 2.52, 2 Tc 2.58
Re  0.2500  0.7164  0.3750  2 Mn 2.48, 2 Re 2.52, 2 Tc 2.58
Re  0.2500  0.7836  0.8750  2 Mn 2.48, 2 Re 2.52, 2 Tc 2.58
Re  0.2836  0.2500  0.6250  2 Mn 2.48, 2 Re 2.52, 2 Tc 2.58
Re  0.7164  0.7500  0.6250  2 Mn 2.48, 2 Re 2.52, 2 Tc 2.58
Re  0.7500  0.2164  0.8750  2 Mn 2.48, 2 Re 2.52, 2 Tc 2.58
Re  0.7500  0.2836  0.3750  2 Mn 2.48, 2 Re 2.52, 2 Tc 2.58
Re  0.7836  0.7500  0.1250  2 Mn 2.48, 2 Re 2.52, 2 Tc 2.58
Tc  0.0000  0.0000  0.5000  4 Re 2.58, 4 Mn 2.70
Tc  0.0000  0.5000  0.7500  4 Re 2.58, 4 Mn 2.70
Tc  0.5000  0.0000  0.2500  4 Re 2.58, 4 Mn 2.70
Tc  0.5000  0.5000  0.0000  4 Re 2.58, 4 Mn 2.70



Entry 8:
Material: MnRe2Tc
Method: DFT, PBE-GGA
State: relaxed

Properties
Formation energy from the elements: 33.3 kJ/mol of formula units

a = 2.7210 Å, b = 3.8055 Å, c = 5.4358 Å
α = 90.00°, β = 90.27°, γ = 90.00°
With the nearest neighbours (Å) after each atom.
Atoms (fractional coordinates):
Mn  0.0000  0.0000  0.0000  8 Re 2.67-2.68, 2 Tc 2.72, 2 Mn 2.72
Re  0.4984  0.5000  0.2398  4 Re 2.61-2.83, 4 Mn 2.67-2.68, 4 Tc 2.73
Re  0.5016  0.5000  0.7602  4 Re 2.61-2.83, 4 Mn 2.67-2.68, 4 Tc 2.73
Tc  0.0000  0.0000  0.5000  2 Mn 2.72, 2 Tc 2.72, 8 Re 2.73



Entry 9:
Material: MnRe2Tc
Method: DFT, PBE-GGA
State: relaxed

Properties
Formation energy from the elements: 29.7 kJ/mol of formula units

a = 3.8461 Å, b = 3.8461 Å, c = 7.6448 Å
α = 90.00°, β = 90.00°, γ = 90.00°
With the nearest neighbours (Å) after each atom.
Atoms (fractional coordinates):
Mn  0.0000  0.0000  0.0000  8 Re 2.71, 4 Tc 2.72
Mn  0.5000  0.5000  0.5000  8 Re 2.71, 4 Tc 2.72
Re  0.0000  0.5000  0.2500  4 Mn 2.71, 4 Tc 2.71, 4 Re 2.72
Re  0.0000  0.5000  0.7500  4 Tc 2.71, 4 Mn 2.71, 4 Re 2.72
Re  0.5000  0.0000  0.2500  4 Mn 2.71, 4 Tc 2.71, 4 Re 2.72
Re  0.5000  0.0000  0.7500  4 Tc 2.71, 4 Mn 2.71, 4 Re 2.72
Tc  0.0000  0.0000  0.5000  8 Re 2.71, 4 Mn 2.72
Tc  0.5000  0.5000  0.0000  8 Re 2.71, 4 Mn 2.72



Entry 10:
Material: Mn8ReTc3
Method: DFT, PBE-GGA
State: relaxed

Properties
Formation energy from the elements: -107.5 kJ/mol of formula units

a = 4.6602 Å, b = 4.6602 Å, c = 7.6399 Å
α = 90.00°, β = 90.00°, γ = 120.00°
With the nearest neighbours (Å) after each atom.
Atoms (fractional coordinates):
Mn  0.0000  0.0000  0.0000  6 Mn 2.37
Mn  0.0000  0.0000  0.4999  6 Mn 2.37
Mn  0.1738  0.3476  0.2502  6 Mn 2.23-2.43
Mn  0.1738  0.8262  0.2502  6 Mn 2.23-2.43
Mn  0.3477  0.1739  0.7498  6 Mn 2.23-2.43
Mn  0.6524  0.8262  0.2502  6 Mn 2.23-2.43
Mn  0.8261  0.1739  0.7498  6 Mn 2.23-2.43
Mn  0.8261  0.6523  0.7498  6 Mn 2.23-2.43
Re  0.6667  0.3333  0.0669  12 Mn 2.72-2.74, 4 Tc 2.78-2.88
Tc  0.3333  0.6667  0.5680  12 Mn 2.71-2.75, 4 Tc 2.78-2.89
Tc  0.3333  0.6667  0.9316  12 Mn 2.71-2.75, 1 Tc 2.78, 3 Re 2.88
Tc  0.6667  0.3333  0.4313  12 Mn 2.71-2.75, 1 Re 2.78, 3 Tc 2.89



Entry 11:
Material: MnRe2Tc
Method: DFT, PBE-GGA
State: relaxed

Properties
Formation energy from the elements: 28.6 kJ/mol of formula units

a = 3.8478 Å, b = 3.8478 Å, c = 7.6329 Å
α = 90.00°, β = 90.00°, γ = 90.00°
With the nearest neighbours (Å) after each atom.
Atoms (fractional coordinates):
Mn  0.0000  0.0000  0.0000  4 Tc 2.71, 8 Re 2.71-2.72
Mn  0.5000  0.5000  0.5000  4 Tc 2.71, 8 Re 2.71-2.72
Re  0.0000  0.0000  0.5000  4 Re 2.71, 4 Tc 2.71, 4 Mn 2.72
Re  0.0000  0.5000  0.7500  4 Re 2.71, 4 Mn 2.71, 4 Tc 2.72
Re  0.5000  0.0000  0.2500  4 Mn 2.71, 4 Re 2.71, 4 Tc 2.72
Re  0.5000  0.5000  0.0000  4 Tc 2.71, 4 Re 2.71, 4 Mn 2.72
Tc  0.0000  0.5000  0.2500  4 Mn 2.71, 8 Re 2.71-2.72
Tc  0.5000  0.0000  0.7500  8 Re 2.71-2.72, 4 Mn 2.71



Entry 12:
Material: MnRe2Tc
Method: DFT, PBE-GGA
State: relaxed

Properties
Formation energy from the elements: 50.3 kJ/mol of formula units

a = 2.7405 Å, b = 2.7405 Å, c = 26.2727 Å
α = 90.00°, β = 90.00°, γ = 120.00°
With the nearest neighbours (Å) after each atom.
Atoms (fractional coordinates):
Mn  0.0000  0.0000  0.0000  3 Tc 2.63, 3 Re 2.65, 6 Mn 2.74
Mn  0.3333  0.6667  0.6667  3 Tc 2.63, 3 Re 2.65, 6 Mn 2.74
Mn  0.6667  0.3333  0.3333  3 Tc 2.63, 3 Re 2.65, 6 Mn 2.74
Re  0.0000  0.0000  0.5008  9 Re 2.74-2.77, 3 Tc 2.75
Re  0.0000  0.0000  0.7476  3 Mn 2.65, 9 Re 2.74-2.77
Re  0.3333  0.6667  0.1675  9 Re 2.74-2.77, 3 Tc 2.75
Re  0.3333  0.6667  0.4143  3 Mn 2.65, 9 Re 2.74-2.77
Re  0.6667  0.3333  0.0809  3 Mn 2.65, 9 Re 2.74-2.77
Re  0.6667  0.3333  0.8342  9 Re 2.74-2.77, 3 Tc 2.75
Tc  0.0000  0.0000  0.2532  3 Mn 2.63, 6 Tc 2.74, 3 Re 2.75
Tc  0.3333  0.6667  0.9199  3 Mn 2.63, 6 Tc 2.74, 3 Re 2.75
Tc  0.6667  0.3333  0.5865  3 Mn 2.63, 6 Tc 2.74, 3 Re 2.75